[1]
CoSbTe2 | the Alexandria database | PBE | optimized geometry; space-group type = No. 122; D(E_F) = 4.0 states/eV/f.u.; formation energy (no corrections) = 0.17 eV per atom
1.0
-2.6092 -4.3943 3.8969
-1.4276 -3.6617 -5.0850
3.1758 -6.6994 -0.1286
Sb Te Co
2 4 2
direct
0.0000 0.0000 0.0000 Sb
0.7500 0.2500 0.5000 Sb
0.5452 0.1250 0.2500 Te
0.2048 0.6250 0.2500 Te
0.3750 0.4548 0.7500 Te
0.8750 0.7952 0.7500 Te
0.5000 0.5000 0.0000 Co
0.2500 0.7500 0.5000 Co

[2]
Tm2ThNi | the Alexandria database | PBE | optimized geometry; space-group type = No. 166; D(E_F) = 3.1 states/eV/f.u.; E above lowest polymorph = 0.319 eV/atom; formation energy from the elements = 0.071 eV/atom
1.0
-0.5114 2.8747 -1.8445
-1.5024 -0.1845 -3.1042
-10.0290 2.0923 2.8086
Ni Tm Th
1 2 1
direct
0.5000 0.5000 0.5000 Ni
0.1096 0.1096 0.6712 Tm
0.8904 0.8904 0.3288 Tm
0.0000 0.0000 0.0000 Th

[3]
Pm2HfCu | the Alexandria database | PBE | optimized geometry; space-group type = No. 123; D(E_F) = 3.7 states/eV/f.u.; E above lowest polymorph = 0.000 eV/atom; formation energy from the elements = 0.035 eV/atom
1.0
3.4521 0.0000 0.0000
0.0000 3.4521 0.0000
0.0000 0.0000 8.4527
Hf Cu Pm
1 1 2
direct
0.5000 0.5000 0.5000 Hf
0.5000 0.5000 0.0000 Cu
0.0000 0.0000 0.7773 Pm
0.0000 0.0000 0.2227 Pm

[4]
CsVICl2 | the Alexandria database | PBE | optimized geometry; space-group type = No. 123; D(E_F) = 0.9 states/eV/f.u.; formation energy (no corrections) = -1.18 eV per atom
1.0
5.1814 0.0000 0.0000
0.0000 5.1814 0.0000
0.0000 0.0000 5.7190
Cs I Cl V
1 1 2 1
direct
0.5000 0.5000 0.5000 Cs
0.0000 0.0000 0.5000 I
0.0000 0.5000 0.0000 Cl
0.5000 0.0000 0.0000 Cl
0.0000 0.0000 0.0000 V

[5]
Pm4Sm8Ho3 | the Alexandria database | PBE | optimized geometry; space-group type = No. 12; D(E_F) = 28.9 states/eV/f.u.; E above lowest polymorph = 0.231 eV/atom; formation energy from the elements = 0.355 eV/atom
1.0
-3.8054 -4.6758 3.2356
8.2314 -3.5470 -2.7080
4.8524 5.2571 6.0406
Pm Sm Ho
4 8 3
direct
0.5000 0.0000 0.0000 Pm
0.0000 0.5000 0.0000 Pm
0.0000 0.0000 0.0000 Pm
0.0000 0.0000 0.5000 Pm
0.5073 0.2620 0.2620 Sm
0.0000 0.6440 0.3560 Sm
0.9937 0.2727 0.2727 Sm
0.5000 0.7457 0.2543 Sm
0.5000 0.2543 0.7457 Sm
0.0063 0.7273 0.7273 Sm
0.0000 0.3560 0.6440 Sm
0.4927 0.7380 0.7380 Sm
0.5000 0.5000 0.0000 Ho
0.5000 0.0000 0.5000 Ho
0.5000 0.5000 0.5000 Ho

[6]
TlAgTe2 | the Alexandria database | PBE | optimized geometry; space-group type = No. 47; D(E_F) = 2.6 states/eV/f.u.; formation energy (no corrections) = 0.02 eV per atom
1.0
-1.2712 2.8777 -0.5819
-2.9539 -0.7351 2.8177
4.9804 3.4373 6.1179
Tl Te Ag
1 2 1
direct
0.5000 0.5000 0.2500 Tl
0.0000 0.0000 0.9665 Te
0.0000 0.0000 0.5335 Te
0.5000 0.5000 0.7500 Ag

[7]
Ti3Nb3B4 | the Alexandria database | PBE | optimized geometry; space-group type = No. 38; D(E_F) = 9.2 states/eV/f.u.; formation energy from the elements = -0.647 eV/atom
1.0
-2.1457 -1.9384 -1.5181
4.5977 -3.5419 -1.9758
-0.4889 -3.4235 5.0624
Ti Nb B
3 3 4
direct
0.0000 0.4999 0.9999 Ti
0.0000 0.0001 0.5001 Ti
0.5000 0.1780 0.8220 Ti
0.5000 0.8210 0.1790 Nb
0.5000 0.3192 0.3197 Nb
0.5000 0.6803 0.6808 Nb
0.0000 0.6052 0.3948 B
0.0000 0.3941 0.6059 B
0.0000 0.8972 0.8950 B
0.0000 0.1050 0.1028 B

[8]
MnSi5 | the Alexandria database | PBE | optimized geometry; space-group type = No. 123; D(E_F) = 1.7 states/eV/f.u.; E above lowest polymorph = 0.074 eV/atom; formation energy (no corrections) = 0.23 eV per atom
1.0
-2.7085 0.2840 -0.4988
-0.1572 -2.6810 -0.6731
-2.0865 -2.3815 9.9728
Mn Si
1 5
direct
0.5000 0.5000 0.0000 Mn
0.0000 0.0000 0.8686 Si
0.0000 0.0000 0.1314 Si
0.5000 0.5000 0.6849 Si
0.5000 0.5000 0.3151 Si
0.0000 0.0000 0.5000 Si

[9]
La2TlW | the Alexandria database | PBE | optimized geometry; space-group type = No. 12; D(E_F) = 5.1 states/eV/f.u.; E above lowest polymorph = 0.228 eV/atom; formation energy from the elements = 0.511 eV/atom
1.0
4.3987 -0.0587 0.0153
3.2649 2.9483 0.0153
0.7934 0.2991 8.9013
La Tl W
2 1 1
direct
0.9984 0.9984 0.0402 La
0.5016 0.5016 0.4598 La
0.7500 0.7500 0.7500 Tl
0.2500 0.2500 0.2500 W

[10]
Ga3Ni7As | the Alexandria database | PBE | optimized geometry; space-group type = No. 12; D(E_F) = 5.6 states/eV/f.u.; formation energy from the elements = -0.110 eV/atom
1.0
4.3621 -0.0787 -0.1008
-2.0686 5.8220 0.1960
-2.0686 -1.2213 5.6958
Ga Ni As
3 7 1
direct
0.0000 0.7733 0.2267 Ga
0.5000 0.0000 0.0000 Ga
0.0000 0.2267 0.7733 Ga
0.1900 0.1880 0.1880 Ni
0.3220 0.0406 0.6043 Ni
0.6780 0.3957 0.9594 Ni
0.3220 0.6043 0.0406 Ni
0.0000 0.5000 0.5000 Ni
0.6780 0.9594 0.3957 Ni
0.8100 0.8120 0.8120 Ni
0.5000 0.5000 0.5000 As

[11]
Sb | the Alexandria database | PBE | optimized geometry; space-group type = No. 44; D(E_F) = 0.2 states/eV/f.u.; E above lowest polymorph = 0.120 eV/atom; formation energy (no corrections) = 0.12 eV per atom
1.0
15.3149 0.0000 0.0000
0.0000 4.2221 0.0000
0.0000 0.0000 6.4901
Sb
12
direct
0.8318 0.0000 0.7682 Sb
0.1682 0.0000 0.7682 Sb
0.3318 0.5000 0.2682 Sb
0.6682 0.5000 0.2682 Sb
0.0000 0.0000 0.2497 Sb
0.5000 0.5000 0.7497 Sb
0.7982 0.0000 0.3287 Sb
0.2018 0.0000 0.3287 Sb
0.2982 0.5000 0.8287 Sb
0.7018 0.5000 0.8287 Sb
0.0000 0.5000 0.5585 Sb
0.5000 0.0000 0.0585 Sb

[12]
Zr2Ga2S7 | the Alexandria database | PBE | optimized geometry; space-group type = No. 12; formation energy (no corrections) = -0.92 eV per atom
1.0
6.2969 -0.2797 -0.3198
-0.7484 6.6444 -0.3724
-0.7484 -1.2530 6.5358
Zr Ga S
2 2 7
direct
0.0000 0.3148 0.6852 Zr
0.0000 0.6852 0.3148 Zr
0.3883 0.2278 0.2278 Ga
0.6117 0.7722 0.7722 Ga
0.7944 0.9297 0.5618 S
0.2056 0.4382 0.0703 S
0.2056 0.0703 0.4382 S
0.7944 0.5618 0.9297 S
0.5000 0.0000 0.0000 S
0.2603 0.5837 0.5837 S
0.7397 0.4163 0.4163 S

[13]
Nb2CoTeAs | the Alexandria database | PBE | optimized geometry; space-group type = No. 123; D(E_F) = 7.5 states/eV/f.u.; formation energy (no corrections) = 0.40 eV per atom
1.0
-0.4068 4.8403 0.2692
-4.0368 -0.3879 0.8741
1.0450 -0.1762 4.7480
Nb Te Co As
2 1 1 1
direct
0.0000 0.0000 0.5000 Nb
0.5000 0.0000 0.0000 Nb
0.5000 0.5000 0.5000 Te
0.0000 0.0000 0.0000 Co
0.0000 0.5000 0.0000 As

[14]
Na2LiH | the Alexandria database | PBE | optimized geometry; space-group type = No. 225; D(E_F) = 1.5 states/eV/f.u.; E above lowest polymorph = 0.379 eV/atom
1.0
1.8244 -4.2064 2.1131
0.6681 -0.2286 4.9989
-3.0058 -2.9179 2.8176
Na H Li
2 1 1
direct
0.2500 0.2500 0.2500 Na
0.7500 0.7500 0.7500 Na
0.0000 0.0000 0.0000 H
0.5000 0.5000 0.5000 Li

[15]
FeI3N | the Alexandria database | PBE | optimized geometry; space-group type = No. 221; D(E_F) = 4.7 states/eV/f.u.; E above lowest polymorph = 0.000 eV/atom; formation energy (no corrections) = 1.32 eV per atom
1.0
5.0326 0.0000 0.0000
0.0000 5.0326 0.0000
0.0000 0.0000 5.0326
I Fe N
3 1 1
direct
0.0000 0.5000 0.0000 I
0.0000 0.0000 0.5000 I
0.5000 0.0000 0.0000 I
0.5000 0.5000 0.5000 Fe
0.0000 0.0000 0.0000 N

[16]
DyTl3F6 | the Alexandria database | PBE | optimized geometry; space-group type = No. 14; D(E_F) = 0.0 states/eV/f.u.; formation energy (no corrections) = -2.72 eV per atom
1.0
6.5663 0.0000 0.0737
0.0000 6.9015 0.0000
0.0269 0.0000 9.4846
Dy Tl F
2 6 12
direct
0.5000 0.5000 0.5000 Dy
0.0000 0.0000 0.0000 Dy
0.5129 0.9596 0.7540 Tl
0.5000 0.5000 0.0000 Tl
0.4871 0.0404 0.2460 Tl
0.0129 0.5404 0.2540 Tl
0.0000 0.0000 0.5000 Tl
0.9871 0.4596 0.7460 Tl
0.7210 0.1631 0.9536 F
0.6552 0.2345 0.5684 F
0.6131 0.4474 0.2835 F
0.3869 0.5526 0.7165 F
0.3448 0.7655 0.4316 F
0.2790 0.8369 0.0464 F
0.2210 0.3369 0.4536 F
0.1552 0.2655 0.0684 F
0.1131 0.0526 0.7835 F
0.8869 0.9474 0.2165 F
0.8448 0.7345 0.9316 F
0.7790 0.6631 0.5464 F

[17]
Sm3Ga12Sn5 | the Alexandria database | PBE | optimized geometry; space-group type = No. 230; D(E_F) = 4.2 states/eV/f.u.; formation energy from the elements = 0.114 eV/atom
1.0
-13.4137 3.4414 -3.8618
0.1365 -13.2626 5.5468
4.7032 9.3608 9.8457
Sm Sn Ga
12 20 48
direct
0.7500 0.3750 0.1250 Sm
0.8750 0.7500 0.1250 Sm
0.3750 0.7500 0.6250 Sm
0.2500 0.1250 0.3750 Sm
0.8750 0.1250 0.2500 Sm
0.3750 0.6250 0.2500 Sm
0.6250 0.3750 0.7500 Sm
0.1250 0.8750 0.7500 Sm
0.7500 0.8750 0.6250 Sm
0.6250 0.2500 0.3750 Sm
0.1250 0.2500 0.8750 Sm
0.2500 0.6250 0.8750 Sm
0.1250 0.3750 0.2500 Sn
0.0000 0.5000 0.0000 Sn
0.0000 0.0000 0.0000 Sn
0.3750 0.2500 0.1250 Sn
0.5000 0.0000 0.5000 Sn
0.5000 0.5000 0.0000 Sn
0.1250 0.7500 0.3750 Sn
0.7500 0.1250 0.8750 Sn
0.7500 0.6250 0.3750 Sn
0.3750 0.1250 0.7500 Sn
0.6250 0.8750 0.2500 Sn
0.5000 0.5000 0.5000 Sn
0.5000 0.0000 0.0000 Sn
0.0000 0.0000 0.5000 Sn
0.2500 0.3750 0.6250 Sn
0.2500 0.8750 0.1250 Sn
0.0000 0.5000 0.5000 Sn
0.8750 0.2500 0.6250 Sn
0.6250 0.7500 0.8750 Sn
0.8750 0.6250 0.7500 Sn
0.7251 0.1071 0.0443 Ga
0.3191 0.5443 0.4372 Ga
0.9557 0.3929 0.2749 Ga
0.5443 0.2251 0.1071 Ga
0.6180 0.7251 0.6809 Ga
0.9557 0.5628 0.1809 Ga
0.3191 0.7749 0.3820 Ga
0.0628 0.8820 0.1071 Ga
0.5628 0.9557 0.6809 Ga
0.7251 0.6180 0.1809 Ga
0.7749 0.4557 0.3929 Ga
0.8191 0.9372 0.0443 Ga
0.1071 0.7251 0.5443 Ga
0.3929 0.4372 0.1180 Ga
0.1180 0.9372 0.3929 Ga
0.3820 0.1071 0.5628 Ga
0.1180 0.1809 0.2251 Ga
0.4557 0.6809 0.0628 Ga
0.8191 0.8820 0.2749 Ga
0.1071 0.3820 0.0628 Ga
0.3929 0.9557 0.7749 Ga
0.5628 0.6071 0.3820 Ga
0.9372 0.8191 0.5443 Ga
0.7749 0.3191 0.8820 Ga
0.4372 0.3929 0.6180 Ga
0.0628 0.1809 0.4557 Ga
0.2251 0.6809 0.1180 Ga
0.1809 0.1180 0.7251 Ga
0.6071 0.0443 0.2251 Ga
0.8929 0.6180 0.9372 Ga
0.5443 0.3191 0.9372 Ga
0.6180 0.8929 0.4372 Ga
0.8820 0.8191 0.7749 Ga
0.8820 0.0628 0.6071 Ga
0.8929 0.2749 0.4557 Ga
0.1809 0.0628 0.9557 Ga
0.6071 0.5628 0.8820 Ga
0.4372 0.0443 0.3191 Ga
0.2749 0.3820 0.8191 Ga
0.2251 0.5443 0.6071 Ga
0.9372 0.1180 0.8929 Ga
0.6809 0.2251 0.6180 Ga
0.4557 0.7749 0.8929 Ga
0.0443 0.4372 0.8191 Ga
0.3820 0.2749 0.3191 Ga
0.0443 0.6071 0.7251 Ga
0.6809 0.4557 0.5628 Ga
0.2749 0.8929 0.9557 Ga

[18]
LiTh2Te6 | the Alexandria database | PBE | optimized geometry; space-group type = No. 136; D(E_F) = 14.8 states/eV/f.u.; formation energy (no corrections) = -0.64 eV per atom
1.0
7.2842 0.0000 0.0000
0.0000 7.2842 0.0000
0.0000 0.0000 13.2122
Li Th Te
2 4 12
direct
0.0000 0.0000 0.0000 Li
0.5000 0.5000 0.5000 Li
0.0000 0.0000 0.3268 Th
0.5000 0.5000 0.8268 Th
0.5000 0.5000 0.1732 Th
0.0000 0.0000 0.6732 Th
0.2972 0.2972 0.3486 Te
0.7028 0.7028 0.3486 Te
0.2028 0.7972 0.8486 Te
0.7972 0.2028 0.8486 Te
0.2028 0.7972 0.1514 Te
0.7972 0.2028 0.1514 Te
0.2972 0.2972 0.6514 Te
0.7028 0.7028 0.6514 Te
0.2920 0.2920 0.0000 Te
0.7080 0.7080 0.0000 Te
0.2080 0.7920 0.5000 Te
0.7920 0.2080 0.5000 Te

[19]
Pr6Si2Te3Se | the Alexandria database | PBE | optimized geometry; space-group type = No. 12; D(E_F) = 4.9 states/eV/f.u.; formation energy (no corrections) = -1.33 eV per atom
1.0
4.3806 0.0000 0.0000
0.0000 8.9556 0.1998
-2.1903 -2.7043 9.3391
Pr Si Te Se
6 2 3 1
direct
0.3352 0.8948 0.6704 Pr
0.6728 0.5681 0.3457 Pr
0.6648 0.1052 0.3296 Pr
0.0102 0.2434 0.0204 Pr
0.9898 0.7566 0.9796 Pr
0.3272 0.4319 0.6543 Pr
0.8335 0.6678 0.6670 Si
0.1665 0.3322 0.3330 Si
0.5000 0.5000 0.0000 Te
0.8359 0.1658 0.6718 Te
0.1641 0.8342 0.3282 Te
0.5000 0.0000 0.0000 Se

[20]
Tb3Dy3Tl | the Alexandria database | PBE | optimized geometry; space-group type = No. 11; D(E_F) = 9.5 states/eV/f.u.; E above lowest polymorph = 0.000 eV/atom; formation energy from the elements = -0.059 eV/atom
1.0
5.5670 0.0000 0.0000
0.0000 9.3995 -0.0112
0.0000 -4.6957 8.1430
Tb Dy Tl
6 6 2
direct
0.7500 0.7571 0.8212 Tb
0.7500 0.0644 0.2430 Tb
0.7500 0.1786 0.9361 Tb
0.2500 0.2429 0.1788 Tb
0.2500 0.9356 0.7570 Tb
0.2500 0.8214 0.0639 Tb
0.2500 0.5194 0.6263 Dy
0.2500 0.1062 0.4801 Dy
0.2500 0.3736 0.8936 Dy
0.7500 0.4806 0.3737 Dy
0.7500 0.8938 0.5199 Dy
0.7500 0.6264 0.1064 Dy
0.7500 0.3331 0.6669 Tl
0.2500 0.6669 0.3331 Tl